Crystalline NaLiGa4 at its relaxed geometry, computed with PBE-GGA.

Summary:
* uncorrected energy: -2.6488 eV/atom
* polymorph energy (0 for the lowest one): 85.6 meV/atom
* density of states at the Fermi level: 0.301 states/eV/atom
* formation enthalpy at 0 K: -92 meV per atom

a b c (Å): 13.4989 6.7691 5.3323
angles (deg): 90.00 105.85 90.00
Space group C2/m (No. 12)
Asymmetric unit:
Na: 0.2162 0.0000 0.1213 x4
Li: 0.0507 0.5000 0.7663 x4
Ga: 0.0000 0.1911 0.0000 x4
Ga: 0.1088 0.1899 0.5476 x8
Ga: 0.1659 0.5000 0.2926 x4

Crystalline RbCa3H at its relaxed geometry, computed with PBE-GGA.

Summary:
* uncorrected energy: -1.9311 eV/atom
* density of states at the Fermi level: 0.799 states/eV/atom

a b c (Å): 5.6634 5.6634 5.6634
angles (deg): 90.00 90.00 90.00
Space group Pm-3m (No. 221)
Asymmetric unit:
Rb: 0.0000 0.0000 0.0000 x1
Ca: 0.0000 0.5000 0.5000 x3
H: 0.5000 0.5000 0.5000 x1

Crystalline ZrBi2As at its relaxed geometry, computed with PBE-GGA.

Summary:
* uncorrected energy: -4.8055 eV/atom
* density of states at the Fermi level: 0.872 states/eV/atom
* formation enthalpy at 0 K: 434 meV per atom

a b c (Å): 6.7136 6.7136 13.3264
angles (deg): 90.00 90.00 90.00
Space group I-42d (No. 122)
Asymmetric unit:
Zr: 0.0000 0.0000 0.0000 x4
Bi: 0.2446 0.2500 0.6250 x8
As: 0.0000 0.0000 0.5000 x4

Crystalline NdNpSn2 at its relaxed geometry, computed with PBE-GGA.

Summary:
* uncorrected energy: -6.2597 eV/atom
* polymorph energy (0 for the lowest one): 496.3 meV/atom
* density of states at the Fermi level: 1.914 states/eV/atom
* formation enthalpy at 0 K: 169 meV per atom

a b c (Å): 3.2990 3.2990 36.0187
angles (deg): 90.00 90.00 120.00
Space group R-3m (No. 166, hexagonal axes)
Asymmetric unit:
Nd: 0.0000 0.0000 0.0000 x3
Np: 0.0000 0.0000 0.5000 x3
Sn: 0.0000 0.0000 0.0899 x6

Repeat the fourth record exactly.
Crystalline NdNpSn2 at its relaxed geometry, computed with PBE-GGA.

Summary:
* uncorrected energy: -6.2597 eV/atom
* polymorph energy (0 for the lowest one): 496.3 meV/atom
* density of states at the Fermi level: 1.914 states/eV/atom
* formation enthalpy at 0 K: 169 meV per atom

a b c (Å): 3.2990 3.2990 36.0187
angles (deg): 90.00 90.00 120.00
Space group R-3m (No. 166, hexagonal axes)
Asymmetric unit:
Nd: 0.0000 0.0000 0.0000 x3
Np: 0.0000 0.0000 0.5000 x3
Sn: 0.0000 0.0000 0.0899 x6